Record 1
## Pm4SnPbN (GGA-PBE)

Data for a geometry-optimized Pm4SnPbN structure.

- E_form (uncorrected) (eV/atom) = -0.85
- space group = Cmcm, No. 63
- DOS at the Fermi energy (states/eV per atom) = 0.602
- magnetic moment (μB/f.u.) = 0.0

abc: 8.9467 8.9467 6.9021
angles: 90.00 90.00 134.60
Last column: nearest neighbours and their distance in Å.
Sites, in units of the cell vectors:
Pm  0.0000  0.5000  0.0000  2 N 2.44
Pm  0.0000  0.5000  0.5000  2 N 2.44
Pm  0.0891  0.9109  0.7500  1 N 2.67
Pm  0.4086  0.5914  0.7500  1 N 2.60
Pm  0.5000  0.0000  0.0000  2 N 2.44
Pm  0.5000  0.0000  0.5000  2 N 2.44
Pm  0.5914  0.4086  0.2500  1 N 2.60
Pm  0.9109  0.0891  0.2500  1 N 2.67
Sn  0.1089  0.8911  0.2500  9 Pm 3.27-3.47
Sn  0.8911  0.1089  0.7500  9 Pm 3.27-3.47
Pb  0.3936  0.6064  0.2500  9 Pm 3.26-3.46
Pb  0.6064  0.3936  0.7500  9 Pm 3.26-3.46
N  0.2509  0.7491  0.7500  6 Pm 2.44-2.67
N  0.7491  0.2509  0.2500  6 Pm 2.44-2.67

***

Record 2
## CuSbOs (GGA-PBE)

Data for a geometry-optimized CuSbOs structure.

- E_form (uncorrected) (eV/atom) = 0.36
- offset from the most stable computed form (eV/atom) = 0.0000
- space group = F-43m, No. 216
- DOS at the Fermi energy (states/eV per atom) = 0.595
- magnetic moment (μB/f.u.) = 0.0

abc: 4.2962 4.2962 4.2962
angles: 60.00 60.00 60.00
Last column: nearest neighbours and their distance in Å.
Sites, in units of the cell vectors:
Cu  0.0000  0.0000  0.0000  4 Os 2.63
Sb  0.5000  0.5000  0.5000  4 Os 2.63
Os  0.2500  0.2500  0.2500  4 Sb 2.63, 4 Cu 2.63

***

The highest DOS at the Fermi energy belongs to which entry?
Pm4SnPbN

***

Among the records above, which one has the highest E_form (uncorrected)?
CuSbOs

***

Which formula does entry 2 have?
CuSbOs